SrU2CuS6 | PBE | optimized geometry

Lattice parameters (Å, degrees): 7.128 7.179 7.268 60.62 89.34 60.96
Fractional coordinates of all 10 atoms:
Sr1 0.000 0.000 0.000
U1 0.298 0.423 0.846
U2 0.785 0.425 0.358
Cu1 0.259 0.085 0.322
S1 0.048 0.517 0.107
S2 0.126 0.931 0.596
S3 0.445 0.928 0.133
S4 0.574 0.275 0.635
S5 0.627 0.350 0.091
S6 0.964 0.481 0.626

Magnetic moment   3.0 μB/f.u.
E   -65.73 eV/f.u.
D(E_F)   0.893 states/eV per atom